No. 1
Material: CrMoW2
Method: DFT, GGA-PBEsol
State: optimized geometry

Geometry as POSCAR:
```
CrMoW2
1.0
2.6824 -0.0022 0.0000
-0.9047 2.5253 0.0000
0.0000 0.0000 8.6031
Cr Mo W
1 1 2
Direct
0.0000 0.0000 0.4989
0.5000 0.5000 0.2631
0.0000 0.0000 0.0010
0.5000 0.5000 0.7371
```

Output
relative energy among the computed polymorphs: 35 meV/atom
raw total energy: -12.33 eV per atom
D(E_F): 0.563 states/eV per atom
formation enthalpy at 0 K: 0.0797 eV/atom

***

No. 2
Material: CrMoW2
Method: DFT, GGA-PBEsol
State: optimized geometry

Geometry as POSCAR:
```
CrMoW2
1.0
-1.0984 -0.7369 2.7771
-0.3432 -2.9182 -0.9101
5.7006 -1.2687 1.9180
W Mo Cr
2 1 1
Direct
0.0000 0.0000 0.9982
0.5000 0.5000 0.2608
0.5000 0.5000 0.7406
0.0000 0.0000 0.5004
```

Output
relative energy among the computed polymorphs: 19 meV/atom
raw total energy: -12.34 eV per atom
D(E_F): 0.623 states/eV per atom
formation enthalpy at 0 K: 0.0639 eV/atom

***

No. 3
Material: CrMoW
Method: DFT, GGA-PBEsol
State: optimized geometry

Geometry as POSCAR:
```
CrMoW
1.0
-2.0433 0.1477 1.7085
-2.0357 -3.0959 -2.1671
2.6312 -1.0188 3.2349
W Cr Mo
1 1 1
Direct
0.3285 0.3333 0.6667
0.9980 0.0000 0.0000
0.6735 0.6667 0.3333
```

Output
relative energy among the computed polymorphs: 23 meV/atom
raw total energy: -11.85 eV per atom
D(E_F): 0.589 states/eV per atom
formation enthalpy at 0 K: 0.0930 eV/atom

***

No. 4
Material: CrMo2W
Method: DFT, GGA-PBEsol
State: optimized geometry

Geometry as POSCAR:
```
CrMo2W
1.0
3.0691 0.0000 0.0000
0.0000 3.0691 0.0000
0.0000 0.0000 6.1286
Cr Mo W
1 2 1
Direct
0.5000 0.5000 0.5000
0.0000 0.0000 0.7398
0.0000 0.0000 0.2602
0.5000 0.5000 0.0000
```

Output
relative energy among the computed polymorphs: 12 meV/atom
raw total energy: -11.83 eV per atom
D(E_F): 0.673 states/eV per atom
formation enthalpy at 0 K: 0.0659 eV/atom

***

No. 5
Material: Cr4MoW
Method: DFT, GGA-PBEsol
State: optimized geometry

Geometry as POSCAR:
```
Cr4MoW
1.0
-0.7244 3.3542 -3.2934
-2.5674 -0.9912 -3.8792
-4.3235 1.9067 -0.5416
W Cr Mo
1 4 1
Direct
0.0000 0.0000 0.0000
0.6251 0.1246 0.6251
0.1246 0.6251 0.6251
0.6251 0.6251 0.1246
0.6251 0.6251 0.6251
0.2500 0.2500 0.2500
```

Output
raw total energy: -11.01 eV per atom
D(E_F): 1.692 states/eV per atom
formation enthalpy at 0 K: 0.0802 eV/atom

***

No. 6
Material: CrMoW2
Method: DFT, GGA-PBEsol
State: optimized geometry

Geometry as POSCAR:
```
CrMoW2
1.0
-0.1787 4.0082 -1.6658
-2.4995 0.8044 -3.4610
-3.6125 2.3736 0.4341
Cr W Mo
1 2 1
Direct
0.0000 0.0000 0.0000
0.7500 0.7500 0.7500
0.2500 0.2500 0.2500
0.5000 0.5000 0.5000
```

Output
relative energy among the computed polymorphs: 0 meV/atom
raw total energy: -12.36 eV per atom
D(E_F): 0.558 states/eV per atom
formation enthalpy at 0 K: 0.0449 eV/atom

***

No. 7
Material: CrMoW2
Method: DFT, GGA-PBEsol
State: optimized geometry

Geometry as POSCAR:
```
CrMoW2
1.0
2.6836 -0.0024 0.0000
-0.9090 2.5250 0.0000
0.0000 0.0000 8.6000
W Mo Cr
2 1 1
Direct
0.0000 0.0000 0.2617
0.0000 0.0000 0.7383
0.5000 0.5000 0.0000
0.5000 0.5000 0.5000
```

Output
relative energy among the computed polymorphs: 29 meV/atom
raw total energy: -12.33 eV per atom
D(E_F): 0.533 states/eV per atom
formation enthalpy at 0 K: 0.0736 eV/atom

***

No. 8
Material: CrMo2W
Method: DFT, GGA-PBEsol
State: optimized geometry

Geometry as POSCAR:
```
CrMo2W
1.0
-1.6612 1.0560 -2.3597
-0.1951 -3.9888 -1.6476
-3.6534 -0.7458 2.2381
Mo Cr W
2 1 1
Direct
0.0000 0.0000 0.0000
0.5000 0.5000 0.0000
0.0000 0.5000 0.5000
0.5000 0.0000 0.5000
```

Output
relative energy among the computed polymorphs: 10 meV/atom
raw total energy: -11.83 eV per atom
D(E_F): 0.602 states/eV per atom
formation enthalpy at 0 K: 0.0636 eV/atom